Run P
Density functional theory data (PBE) for a relaxed SmGa2PtAu crystal.

## Properties
Calculated volume   198 Å³ per cell
Magnetic moment   0.01 μB/f.u.

Lattice parameters (Å, degrees): 4.3272 4.3272 10.5791 90.00 90.00 90.00
Closest atoms and distances in Å follow each position.
Space group P4/nmm (No. 129, origin choice 2)
Symmetry-distinct sites (fractional):
Sm1 0.2500 0.2500 0.2400 (multiplicity 2)  4 Pt 3.28, 8 Ga 3.31-3.34, 4 Au 3.50
Ga1 0.2500 0.2500 0.6416 (multiplicity 2)  1 Pt 2.44, 4 Au 2.63
Ga2 0.2500 0.7500 0.0000 (multiplicity 2)  4 Pt 2.55
Pt1 0.2500 0.2500 0.8725 (multiplicity 2)  5 Ga 2.44-2.55
Au1 0.2500 0.7500 0.5000 (multiplicity 2)  4 Ga 2.63

=====

Run Q
Density functional theory data (PBE) for a relaxed SmGa2PtAu crystal.

## Properties
Calculated volume   197 Å³ per cell
Magnetic moment   0.00 μB/f.u.

Lattice parameters (Å, degrees): 4.2387 4.2387 10.9380 90.00 90.00 90.00
Closest atoms and distances in Å follow each position.
Space group P4/nmm (No. 129, origin choice 2)
Symmetry-distinct sites (fractional):
Sm1 0.2500 0.2500 0.2428 (multiplicity 2)  4 Au 3.25, 8 Ga 3.25-3.52, 4 Pt 3.40
Ga1 0.2500 0.2500 0.8722 (multiplicity 2)  1 Au 2.51, 4 Pt 2.54
Ga2 0.2500 0.7500 0.5000 (multiplicity 2)  4 Au 2.63
Pt1 0.2500 0.7500 0.0000 (multiplicity 2)  4 Ga 2.54
Au1 0.2500 0.2500 0.6425 (multiplicity 2)  5 Ga 2.51-2.63

=====

The relative energies come out as run P 0; run Q 40, with values in meV/atom.

=====

Run P
Density functional theory data (PBE) for a relaxed TlGaAu crystal.

## Properties
Calculated volume   145 Å³ per cell

Lattice parameters (Å, degrees): 4.6945 4.6945 6.5941 90.00 90.00 90.00
Closest atoms and distances in Å follow each position.
Space group P4/nmm (No. 129, origin choice 2)
Symmetry-distinct sites (fractional):
Tl1 0.2500 0.7500 0.0000 (multiplicity 2)  4 Au 3.09, 2 Ga 3.30, 4 Tl 3.32
Ga1 0.2500 0.7500 0.5000 (multiplicity 2)  4 Au 2.68
Au1 0.2500 0.2500 0.3048 (multiplicity 2)  4 Ga 2.68

=====

Run Q
Density functional theory data (PBE) for a relaxed TlGaAu crystal.

## Properties
Calculated volume   148 Å³ per cell

Lattice parameters (Å, degrees): 4.7089 4.7089 6.6884 90.00 90.00 90.00
Closest atoms and distances in Å follow each position.
Space group P4_2/mmc (No. 131)
Symmetry-distinct sites (fractional):
Tl1 0.0000 0.0000 0.2500 (multiplicity 2)  4 Au 2.89
Ga1 0.5000 0.5000 0.2500 (multiplicity 2)  4 Au 2.89
Au1 0.0000 0.5000 0.0000 (multiplicity 2)  4 Ga 2.89, 4 Tl 2.89

=====

Run R
Density functional theory data (PBE) for a relaxed TlGaAu crystal.

## Properties
Calculated volume   296 Å³ per cell

Lattice parameters (Å, degrees): 6.6648 6.6648 6.6648 90.00 90.00 90.00
Closest atoms and distances in Å follow each position.
Space group F-43m (No. 216)
Symmetry-distinct sites (fractional):
Tl1 0.0000 0.0000 0.0000 (multiplicity 4)  4 Au 2.89
Ga1 0.0000 0.0000 0.5000 (multiplicity 4)  4 Au 2.89
Au1 0.2500 0.2500 0.7500 (multiplicity 4)  4 Tl 2.89, 4 Ga 2.89

=====

The relative energies come out as run P 0; run Q 78; run R 71, with values in meV/atom.

=====

Run P
Density functional theory data (PBE) for a relaxed GdHgAu crystal.

## Properties
Calculated volume   331 Å³ per cell
Magnetic moment   0.00 μB/f.u.

Lattice parameters (Å, degrees): 6.9170 6.9170 6.9170 90.00 90.00 90.00
Closest atoms and distances in Å follow each position.
Space group F-43m (No. 216)
Symmetry-distinct sites (fractional):
Gd1 0.0000 0.0000 0.0000 (multiplicity 4)  4 Hg 3.00, 4 Au 3.00
Hg1 0.2500 0.2500 0.2500 (multiplicity 4)  4 Gd 3.00
Au1 0.2500 0.2500 0.7500 (multiplicity 4)  4 Gd 3.00

=====

Run Q
Density functional theory data (PBE) for a relaxed GdHgAu crystal.

## Properties
Calculated volume   317 Å³ per cell
Magnetic moment   0.46 μB/f.u.

Lattice parameters (Å, degrees): 6.8160 6.8160 6.8160 90.00 90.00 90.00
Closest atoms and distances in Å follow each position.
Space group F-43m (No. 216)
Symmetry-distinct sites (fractional):
Gd1 0.0000 0.0000 0.0000 (multiplicity 4)  4 Au 2.95
Hg1 0.0000 0.0000 0.5000 (multiplicity 4)  4 Au 2.95
Au1 0.2500 0.2500 0.2500 (multiplicity 4)  4 Hg 2.95, 4 Gd 2.95

=====

The relative energies come out as run P 200; run Q 0, with values in meV/atom.

=====

Run P
Density functional theory data (PBE) for a relaxed GdHoAu crystal.

## Properties
Calculated volume   325 Å³ per cell
Magnetic moment   0.00 μB/f.u.

Lattice parameters (Å, degrees): 6.8760 6.8760 6.8760 90.00 90.00 90.00
Closest atoms and distances in Å follow each position.
Space group F-43m (No. 216)
Symmetry-distinct sites (fractional):
Gd1 0.0000 0.0000 0.0000 (multiplicity 4)  4 Ho 2.98, 4 Au 2.98
Ho1 0.2500 0.2500 0.2500 (multiplicity 4)  4 Gd 2.98
Au1 0.2500 0.2500 0.7500 (multiplicity 4)  4 Gd 2.98

=====

Run Q
Density functional theory data (PBE) for a relaxed GdHoAu crystal.

## Properties
Calculated volume   314 Å³ per cell
Magnetic moment   0.01 μB/f.u.

Lattice parameters (Å, degrees): 7.0994 4.9468 8.9271 90.00 90.00 90.00
Closest atoms and distances in Å follow each position.
Space group Pnma (No. 62)
Symmetry-distinct sites (fractional):
Gd1 0.0123 0.2500 0.1779 (multiplicity 4)  3 Au 2.98-3.16
Ho1 0.1508 0.2500 0.5810 (multiplicity 4)  4 Au 2.88-3.04
Au1 0.2462 0.2500 0.9009 (multiplicity 4)  4 Ho 2.88-3.04, 3 Gd 2.98-3.16

=====

The relative energies come out as run P 800; run Q 0, with values in meV/atom.

=====

Run P
Density functional theory data (PBE) for a relaxed Gd2InAu2 crystal.

## Properties
Calculated volume   253 Å³ per cell
Magnetic moment   0.04 μB/f.u.

Lattice parameters (Å, degrees): 8.3931 8.3931 3.5958 90.00 90.00 90.00
Closest atoms and distances in Å follow each position.
Space group P4/mbm (No. 127)
Symmetry-distinct sites (fractional):
Gd1 0.1580 0.3420 0.0000 (multiplicity 4)  6 Au 3.05, 2 In 3.16
In1 0.0000 0.0000 0.0000 (multiplicity 2)  4 Gd 3.16
Au1 0.1340 0.6340 0.5000 (multiplicity 4)  6 Gd 3.05, 1 Au 3.18

=====

Run Q
Density functional theory data (PBE) for a relaxed Gd2InAu2 crystal.

## Properties
Calculated volume   240 Å³ per cell
Magnetic moment   0.00 μB/f.u.

Lattice parameters (Å, degrees): 7.9685 7.9685 3.7856 90.00 90.00 90.00
Closest atoms and distances in Å follow each position.
Space group P4/mbm (No. 127)
Symmetry-distinct sites (fractional):
Gd1 0.1707 0.3293 0.0000 (multiplicity 4)  6 Au 2.95-3.06
In1 0.0000 0.0000 0.5000 (multiplicity 2)  4 Au 3.13
Au1 0.1284 0.6284 0.5000 (multiplicity 4)  1 Au 2.89, 6 Gd 2.95-3.06, 2 In 3.13

=====

The relative energies come out as run P 232; run Q 0, with values in meV/atom.

=====

Run P
Density functional theory data (PBE) for a relaxed NaGdAu crystal.

## Properties
Calculated volume   335 Å³ per cell
Magnetic moment   0.00 μB/f.u.

Lattice parameters (Å, degrees): 6.9440 6.9440 6.9440 90.00 90.00 90.00
Closest atoms and distances in Å follow each position.
Space group F-43m (No. 216)
Symmetry-distinct sites (fractional):
Na1 0.0000 0.0000 0.0000 (multiplicity 4)  4 Au 3.01
Gd1 0.0000 0.0000 0.5000 (multiplicity 4)  4 Au 3.01
Au1 0.2500 0.2500 0.7500 (multiplicity 4)  4 Gd 3.01, 4 Na 3.01

=====

Run Q
Density functional theory data (PBE) for a relaxed NaGdAu crystal.

## Properties
Calculated volume   337 Å³ per cell
Magnetic moment   0.01 μB/f.u.

Lattice parameters (Å, degrees): 6.9574 6.9574 6.9574 90.00 90.00 90.00
Closest atoms and distances in Å follow each position.
Space group F-43m (No. 216)
Symmetry-distinct sites (fractional):
Na1 0.0000 0.0000 0.0000 (multiplicity 4)  4 Gd 3.01
Gd1 0.2500 0.2500 0.7500 (multiplicity 4)  4 Na 3.01, 4 Au 3.01
Au1 0.0000 0.0000 0.5000 (multiplicity 4)  4 Gd 3.01

=====

The relative energies come out as run P 0; run Q 368, with values in meV/atom.

=====

Run P
Density functional theory data (PBE) for a relaxed Gd2Au2O5 crystal.

## Properties
Calculated volume   122 Å³ per cell
Magnetic moment   0.00 μB/f.u.

Lattice parameters (Å, degrees): 4.1749 4.1749 6.9906 90.00 90.00 90.00
Closest atoms and distances in Å follow each position.
Space group P4/mmm (No. 123)
Symmetry-distinct sites (fractional):
Gd1 0.0000 0.0000 0.0000 (multiplicity 1)  8 O 2.62
Gd2 0.0000 0.0000 0.5000 (multiplicity 1)  12 O 2.83-2.95
Au1 0.5000 0.5000 0.1914 (multiplicity 2)  5 O 2.10-2.16
O1 0.0000 0.5000 0.2257 (multiplicity 4)  2 Au 2.10
O2 0.5000 0.5000 0.5000 (multiplicity 1)  2 Au 2.16

=====

Run Q
Density functional theory data (PBE) for a relaxed Gd2Au2O5 crystal.

## Properties
Calculated volume   141 Å³ per cell
Magnetic moment   1.44 μB/f.u.

Lattice parameters (Å, degrees): 3.9591 3.9591 9.0196 90.00 90.00 90.00
Closest atoms and distances in Å follow each position.
Space group P4/mmm (No. 123)
Symmetry-distinct sites (fractional):
Gd1 0.0000 0.0000 0.2459 (multiplicity 2)  5 O 2.21-2.22
Au1 0.5000 0.5000 0.0000 (multiplicity 1)  4 O 2.80
Au2 0.5000 0.5000 0.5000 (multiplicity 1)  8 O 2.37
O1 0.0000 0.0000 0.0000 (multiplicity 1)  2 Gd 2.22
O2 0.0000 0.5000 0.3553 (multiplicity 4)  2 Gd 2.21, 2 Au 2.37

=====

The relative energies come out as run P 117; run Q 0, with values in meV/atom.

=====

Run P
Density functional theory data (PBE) for a relaxed GdAuSO crystal.

## Properties
Calculated volume   140 Å³ per cell
Magnetic moment   0.00 μB/f.u.

Lattice parameters (Å, degrees): 3.9248 3.9248 9.0724 90.00 90.00 90.00
Closest atoms and distances in Å follow each position.
Space group P4/nmm (No. 129, origin choice 2)
Symmetry-distinct sites (fractional):
Gd1 0.2500 0.2500 0.1269 (multiplicity 2)  4 O 2.28
Au1 0.2500 0.7500 0.5000 (multiplicity 2)  4 S 2.76, 4 Au 2.78
S1 0.2500 0.2500 0.7132 (multiplicity 2)  4 Au 2.76
O1 0.2500 0.7500 0.0000 (multiplicity 2)  4 Gd 2.28

=====

Run Q
Density functional theory data (PBE) for a relaxed GdAuSO crystal.

## Properties
Calculated volume   165 Å³ per cell
Magnetic moment   0.00 μB/f.u.

Lattice parameters (Å, degrees): 4.1492 6.1473 6.4674 90.00 90.00 90.00
Closest atoms and distances in Å follow each position.
Space group Pmc2_1 (No. 26)
Symmetry-distinct sites (fractional):
Gd1 0.0000 0.2082 0.0000 (multiplicity 2)  2 O 2.13-2.18
Au1 0.5000 0.2815 0.6291 (multiplicity 2)  2 S 2.39-2.53, 2 O 2.45
S1 0.5000 0.3496 0.2436 (multiplicity 2)  2 Au 2.39-2.53
O1 0.0000 0.0768 0.6863 (multiplicity 2)  2 Gd 2.13-2.18

=====

Run R
Density functional theory data (PBE) for a relaxed GdAuSO crystal.

## Properties
Calculated volume   283 Å³ per cell
Magnetic moment   0.00 μB/f.u.

Lattice parameters (Å, degrees): 8.4782 5.8351 5.7209 90.00 90.62 90.00
Closest atoms and distances in Å follow each position.
Space group P2_1/c (No. 14)
Symmetry-distinct sites (fractional):
Gd1 0.1245 0.0042 0.2523 (multiplicity 4)  4 O 2.30
Au1 0.4970 0.7408 0.2557 (multiplicity 4)  2 S 2.36-2.37
S1 0.2807 0.0129 0.7492 (multiplicity 4)  2 Au 2.36-2.37
O1 0.0047 0.7502 0.0000 (multiplicity 4)  4 Gd 2.30

=====

The relative energies come out as run P 109; run Q 447; run R 0, with values in meV/atom.

=====

Run P
Density functional theory data (PBE) for a relaxed GdAuSO crystal.

## Properties
Calculated volume   281 Å³ per cell
Magnetic moment   0.00 μB/f.u.

Lattice parameters (Å, degrees): 5.5437 5.5437 9.1408 90.00 90.00 90.00
Closest atoms and distances in Å follow each position.
Space group P4bm (No. 100)
Symmetry-distinct sites (fractional):
Gd1 0.0000 0.0000 0.0000 (multiplicity 2)  4 O 2.28
Gd2 0.0000 0.5000 0.2519 (multiplicity 2)  4 O 2.26-2.27
Au1 0.1801 0.3199 0.6180 (multiplicity 4)  3 S 2.51-2.74
S1 0.0000 0.0000 0.4177 (multiplicity 2)  4 Au 2.74
S2 0.0000 0.5000 0.8450 (multiplicity 2)  2 Au 2.51
O1 0.2488 0.2512 0.1274 (multiplicity 4)  4 Gd 2.26-2.28

=====

Run Q
Density functional theory data (PBE) for a relaxed GdAuSO crystal.

## Properties
Calculated volume   290 Å³ per cell
Magnetic moment   0.00 μB/f.u.

Lattice parameters (Å, degrees): 5.6294 5.6531 9.1022 90.00 90.00 90.00
Closest atoms and distances in Å follow each position.
Space group Pba2 (No. 32)
Symmetry-distinct sites (fractional):
Gd1 0.0000 0.0000 0.0000 (multiplicity 2)  4 O 2.29
Gd2 0.0000 0.5000 0.2471 (multiplicity 2)  4 O 2.29
Au1 0.2495 0.0123 0.6238 (multiplicity 4)  2 S 2.42
S1 0.0000 0.0000 0.4079 (multiplicity 2)  2 Au 2.42
S2 0.0000 0.5000 0.8393 (multiplicity 2)  2 Au 2.42
O1 0.2493 0.7505 0.1237 (multiplicity 4)  4 Gd 2.29

=====

Run R
Density functional theory data (PBE) for a relaxed GdAuSO crystal.

## Properties
Calculated volume   283 Å³ per cell
Magnetic moment   0.00 μB/f.u.

Lattice parameters (Å, degrees): 9.2186 5.4707 5.6154 90.00 90.00 90.00
Closest atoms and distances in Å follow each position.
Space group Pbcm (No. 57)
Symmetry-distinct sites (fractional):
Gd1 0.1241 0.0053 0.2500 (multiplicity 4)  4 O 2.26-2.28
Au1 0.4433 0.2500 0.0000 (multiplicity 4)  2 S 2.51, 2 Au 2.81
S1 0.2880 0.5252 0.2500 (multiplicity 4)  2 Au 2.51
O1 0.0021 0.7500 0.0000 (multiplicity 4)  4 Gd 2.26-2.28

=====

The relative energies come out as run P 82; run Q 0; run R 112, with values in meV/atom.